DFT (PBE) results for a geometry-optimized Rb2ReCl4O2 structure.

Cell lengths 6.0372, 6.8098, 6.8098 Å; angles 63.49, 76.17, 76.17 degrees
Last column: magnetic moment on the atom in μB.
Fractional coordinates of all 9 atoms:
1 O 0.2609 0.1333 0.1333  -0.04
2 O 0.7391 0.8667 0.8667  -0.04
3 Cl 0.6852 0.8455 0.3254  0.04
4 Cl 0.3148 0.1545 0.6746  0.04
5 Cl 0.3148 0.6746 0.1545  0.04
6 Cl 0.6852 0.3254 0.8455  0.04
7 Re 0.5000 0.0000 0.0000  0.77
8 Rb 0.1901 0.6816 0.6816  0.00
9 Rb 0.8099 0.3184 0.3184  0.00

- electronic total energy (eV per cell) = -44.52
- magnetization (μB per formula unit) = 1.00